# 1
The following is a PBE-GGA calculation of a geometry-optimized Be4Cl5 structure, from Alexandria via LeMat-Bulk.

a = 8.0322 Å, b = 8.0322 Å, c = 5.8951 Å
α = 90.00°, β = 90.00°, γ = 120.00°
Closest atoms and distances in Å follow each position.
Fractional positions:
Be (0.0000, 0.0000, 0.0000)  6 Cl 2.27
Be (0.0000, 0.0000, 0.5000)  6 Cl 2.27
Be (0.0000, 0.5284, 0.2500)  1 Cl 2.06
Be (0.4716, 0.4716, 0.2500)  1 Cl 2.06
Be (0.5284, 0.0000, 0.2500)  1 Cl 2.06
Be (0.0000, 0.4716, 0.7500)  1 Cl 2.06
Be (0.5284, 0.5284, 0.7500)  1 Cl 2.06
Be (0.4716, 0.0000, 0.7500)  1 Cl 2.06
Cl (0.0000, 0.7851, 0.2500)  3 Be 2.06-2.27
Cl (0.2149, 0.2149, 0.2500)  3 Be 2.06-2.27
Cl (0.7851, 0.0000, 0.2500)  3 Be 2.06-2.27
Cl (0.0000, 0.2149, 0.7500)  3 Be 2.06-2.27
Cl (0.7851, 0.7851, 0.7500)  3 Be 2.06-2.27
Cl (0.2149, 0.0000, 0.7500)  3 Be 2.06-2.27
Cl (0.6667, 0.3333, 0.0000)  6 Be 2.76, 2 Cl 2.95
Cl (0.3333, 0.6667, 0.5000)  6 Be 2.76, 2 Cl 2.95
Cl (0.3333, 0.6667, 0.0000)  6 Be 2.76, 2 Cl 2.95
Cl (0.6667, 0.3333, 0.5000)  6 Be 2.76, 2 Cl 2.95

Computed properties:
**ΔE_f (raw)**: 0.024 eV per atom
**Space-group type**: P6_3/mcm
**Spin magnetization**: 2.48 μB/f.u.
**Relative energy among the computed polymorphs**: 298 kJ/mol of formula units
**V**: 329 Å³/cell

---

# 2
The following is a PBE-GGA calculation of a geometry-optimized CeSi4 structure, from Alexandria via LeMat-Bulk.

a = 5.2468 Å, b = 5.2468 Å, c = 5.2468 Å
α = 90.00°, β = 90.00°, γ = 90.00°
Closest atoms and distances in Å follow each position.
Fractional positions:
Si (0.0000, 0.0000, 0.0000)  12 Si 3.71
Si (0.5000, 0.0000, 0.5000)  2 Ce 2.62
Si (0.0000, 0.5000, 0.5000)  2 Ce 2.62
Si (0.5000, 0.5000, 0.0000)  2 Ce 2.62
Ce (0.5000, 0.5000, 0.5000)  6 Si 2.62

Computed properties:
**ΔE_f (raw)**: 1.538 eV per atom
**Space-group type**: Pm-3m
**Spin magnetization**: 0.00 μB/f.u.
**V**: 144 Å³/cell

---

# 3
The following is a PBE-GGA calculation of a geometry-optimized Na2VSe4 structure, from Alexandria via LeMat-Bulk.

a = 4.8746 Å, b = 4.8746 Å, c = 8.2441 Å
α = 72.80°, β = 72.80°, γ = 90.00°
Closest atoms and distances in Å follow each position.
Fractional positions:
Na (0.3567, 0.3567, 0.2866)  1 Se 2.89
Na (0.6433, 0.6433, 0.7134)  1 Se 2.89
Se (0.1638, 0.1638, 0.6725)  1 V 2.45
Se (0.8362, 0.8362, 0.3275)  1 V 2.45
Se (0.0000, 0.5000, 0.0000)  2 V 2.44
Se (0.5000, 0.0000, 0.0000)  2 V 2.44
V (0.0000, 0.0000, 0.0000)  6 Se 2.44-2.45

Computed properties:
**ΔE_f (raw)**: -0.512 eV per atom
**Space-group type**: I4/mmm
**Spin magnetization**: 0.00 μB/f.u.
**Relative energy among the computed polymorphs**: 143 kJ/mol of formula units
**V**: 178 Å³/cell

---

# 4
The following is a PBE-GGA calculation of a geometry-optimized MgCI3 structure, from Alexandria via LeMat-Bulk.

a = 5.7102 Å, b = 5.7102 Å, c = 5.7102 Å
α = 90.00°, β = 90.00°, γ = 90.00°
Closest atoms and distances in Å follow each position.
Fractional positions:
I (0.0000, 0.5000, 0.0000)  2 Mg 2.86
I (0.0000, 0.0000, 0.5000)  2 Mg 2.86
I (0.5000, 0.0000, 0.0000)  2 Mg 2.86
Mg (0.0000, 0.0000, 0.0000)  6 I 2.86
C (0.5000, 0.5000, 0.5000)  12 I 4.04

Computed properties:
**ΔE_f (raw)**: 1.094 eV per atom
**Space-group type**: Pm-3m
**Spin magnetization**: 1.04 μB/f.u.
**Relative energy among the computed polymorphs**: 126 kJ/mol of formula units
**V**: 186 Å³/cell

---

# 5
The following is a PBE-GGA calculation of a geometry-optimized Ag2SnC structure, from Alexandria via LeMat-Bulk.

a = 4.6110 Å, b = 4.6110 Å, c = 4.6110 Å
α = 60.00°, β = 60.00°, γ = 60.00°
Closest atoms and distances in Å follow each position.
Fractional positions:
C (0.0000, 0.0000, 0.0000)  8 Ag 2.82
Sn (0.5000, 0.5000, 0.5000)  8 Ag 2.82
Ag (0.2500, 0.2500, 0.2500)  4 Sn 2.82, 4 C 2.82
Ag (0.7500, 0.7500, 0.7500)  4 Sn 2.82, 4 C 2.82

Computed properties:
**Energy of formation from the pure elements**: 1.32 eV/atom
**Space-group type**: Fm-3m
**Spin magnetization**: 0.00 μB/f.u.
**Relative energy among the computed polymorphs**: 79 kJ/mol of formula units
**V**: 69 Å³/cell

---

# 6
The following is a PBE-GGA calculation of a geometry-optimized FeTcRu2 structure, from Alexandria via LeMat-Bulk.

a = 4.6214 Å, b = 4.6214 Å, c = 4.6379 Å
α = 80.57°, β = 80.57°, γ = 33.79°
Closest atoms and distances in Å follow each position.
Fractional positions:
Fe (0.7500, 0.7500, 0.7500)  6 Ru 2.66, 4 Tc 2.68, 2 Fe 2.69
Ru (0.0011, 0.0011, 0.9956)  6 Ru 2.65-2.71, 3 Fe 2.66, 3 Tc 2.67-2.69
Ru (0.4989, 0.4989, 0.5044)  6 Ru 2.65-2.71, 3 Fe 2.66, 3 Tc 2.67-2.69
Tc (0.2500, 0.2500, 0.2500)  6 Ru 2.67-2.69, 4 Fe 2.68, 2 Tc 2.69

Computed properties:
**Energy of formation from the pure elements**: 0.11 eV/atom
**Space-group type**: C2/m
**Spin magnetization**: 1.94 μB/f.u.
**Relative energy among the computed polymorphs**: 4 kJ/mol of formula units
**V**: 54 Å³/cell

---

> spin magnetization of number 5 (Ag2SnC)?

0.00 μB/f.u.

---

> Look up the spin magnetization of the second one.

0.00 μB/f.u.